Compound: PrYTlPb
Source: Alexandria via LeMat-Bulk
Functional: PBE
Structure: optimized geometry

Results
Energy above the most stable polymorph in this dataset ... 0.0 meV per atom
Symmetry ... I-4m2 (119)
Total magnetization ... 0.0 μB/cell
Crystal system ... tetragonal

a = 5.1084 Å, b = 5.1083 Å, c = 5.7462 Å
α = 116.35°, β = 116.39°, γ = 90.00°
With the nearest neighbours (Å) after each atom.
Sites, in units of the cell vectors:
Pr  0.0000  0.0000  0.0000  4 Tl 3.39-3.40, 4 Pb 3.39-3.40, 4 Y 3.61
Y  0.5000  0.5000  0.0000  4 Pb 3.39-3.40, 4 Tl 3.39-3.40, 4 Pr 3.61
Tl  0.7500  0.2500  0.5000  4 Pr 3.39-3.40, 4 Y 3.39-3.40, 4 Pb 3.61
Pb  0.2500  0.7500  0.5000  4 Pr 3.39-3.40, 4 Y 3.39-3.40, 4 Tl 3.61

Compound: Pr3TmPb
Source: Alexandria via LeMat-Bulk
Functional: PBE
Structure: optimized geometry

Results
Symmetry ... P-1 (2)
Total magnetization ... 0.0 μB/cell
Crystal system ... triclinic

a = 3.6351 Å, b = 9.3253 Å, c = 12.2046 Å
α = 97.32°, β = 89.96°, γ = 125.77°
With the nearest neighbours (Å) after each atom.
Sites, in units of the cell vectors:
Pr  0.0456  0.1973  0.5329  7 Pr 3.48-3.81, 4 Tm 3.51-3.55, 1 Pb 3.59
Pr  0.6197  0.2478  0.0322  4 Pb 3.45-3.54, 5 Pr 3.59-3.84
Pr  0.7571  0.0048  0.2422  2 Pb 3.48, 8 Pr 3.59-3.84, 2 Tm 3.67
Pr  0.9544  0.8027  0.4671  7 Pr 3.48-3.81, 4 Tm 3.51-3.55, 1 Pb 3.59
Pr  0.2429  0.9952  0.7578  2 Pb 3.48, 8 Pr 3.59-3.84, 2 Tm 3.67
Pr  0.3803  0.7522  0.9678  4 Pb 3.45-3.54, 5 Pr 3.59-3.84
Tm  0.1246  0.5826  0.6517  2 Pb 3.27, 4 Pr 3.51-3.55, 2 Tm 3.64
Tm  0.8754  0.4174  0.3483  2 Pb 3.27, 4 Pr 3.51-3.55, 2 Tm 3.64
Pb  0.3347  0.3895  0.8214  2 Tm 3.27, 7 Pr 3.45-3.59, 2 Pb 3.64
Pb  0.6653  0.6105  0.1785  2 Tm 3.27, 7 Pr 3.45-3.59, 2 Pb 3.64

Record-wise energy relative to the elements values, in eV/atom: -0.44; -0.18
Record-wise energy values, in eV/cell: -19.08; -46.82